Sr2DyScS4 | PBE | relaxed

Values from the calculation:
VASP energy (eV per cell): -46.64
Magnetic moment (μB/atom): 0.000
Volume (A^3/atom): 23.0

```
Sr2DyScS4
1.0
3.985 0.000 0.000
0.000 6.880 0.112
0.000 -2.413 6.666
S Dy Sr Sc
4 1 2 1
Direct
0.000 0.251 0.775
0.500 0.234 0.220
0.000 0.749 0.225
0.500 0.766 0.780
0.500 0.500 0.000
0.000 0.500 0.500
0.500 0.000 0.500
0.000 0.000 0.000
```

TbDy3Sc2S6 | PBE | relaxed

Values from the calculation:
VASP energy (eV per cell): -79.20
Magnetic moment (μB/atom): 0.000
Volume (A^3/atom): 20.0

```
TbDy3Sc2S6
1.0
6.656 -0.010 -0.001
-3.335 5.760 -0.001
-1.109 -1.919 6.277
Tb S Sc Dy
1 6 2 3
Direct
0.000 0.000 0.000
0.080 0.424 0.241
0.735 0.735 0.237
0.576 0.920 0.759
0.265 0.265 0.763
0.920 0.576 0.759
0.424 0.080 0.241
0.666 0.334 0.000
0.334 0.666 0.000
0.838 0.162 0.500
0.500 0.500 0.500
0.162 0.838 0.500
```

Tb4DyScS8 | PBE | relaxed

Values from the calculation:
VASP energy (eV per cell): -89.41
Magnetic moment (μB/atom): 0.056
Volume (A^3/atom): 25.9

```
Tb4DyScS8
1.0
8.005 0.000 0.000
4.002 6.932 0.000
4.002 2.311 6.530
Dy Tb S Sc
1 4 8 1
Direct
0.003 0.003 0.990
0.003 0.490 0.503
0.003 0.003 0.503
0.490 0.003 0.503
0.625 0.625 0.125
0.247 0.247 0.749
0.756 0.247 0.749
0.248 0.248 0.255
0.247 0.756 0.749
0.223 0.760 0.257
0.759 0.759 0.724
0.760 0.223 0.257
0.760 0.760 0.257
0.375 0.375 0.875
```

Tb3Dy3ScS8 | PBE | relaxed

Values from the calculation:
VASP energy (eV per cell): -97.68
Magnetic moment (μB/atom): 0.000
Volume (A^3/atom): 22.2

```
Tb3Dy3ScS8
1.0
-5.659 3.745 3.802
-0.143 -7.759 -0.526
5.323 3.497 4.478
Dy S Tb Sc
3 8 3 1
Direct
0.500 0.500 0.500
0.000 0.500 0.500
0.500 0.000 0.500
0.757 0.515 0.259
0.757 0.001 0.259
0.749 0.499 0.748
0.243 0.999 0.741
0.251 0.501 0.252
0.243 0.485 0.741
0.244 0.001 0.259
0.756 0.999 0.741
0.500 0.500 0.000
0.000 0.500 0.000
0.000 0.000 0.000
0.000 0.000 0.500
```

Tb4DySc3S8 | PBE | relaxed

Values from the calculation:
VASP energy (eV per cell): -106.11
Magnetic moment (μB/atom): 0.000
Volume (A^3/atom): 20.0

```
Tb4DySc3S8
1.0
-5.804 -2.736 4.208
-2.171 -4.450 -5.888
7.187 -0.404 2.655
Tb S Sc Dy
4 8 3 1
Direct
0.000 0.000 0.500
0.500 0.000 0.000
0.000 0.000 0.000
0.500 0.000 0.500
0.738 0.737 0.988
0.262 0.263 0.012
0.751 0.263 0.012
0.249 0.737 0.499
0.751 0.263 0.501
0.249 0.737 0.988
0.256 0.268 0.512
0.744 0.732 0.488
0.500 0.500 0.000
0.500 0.500 0.500
0.000 0.500 0.500
0.000 0.500 0.000
```

TbDySc2S6 | PBE | relaxed

Values from the calculation:
VASP energy (eV per cell): -66.29
Magnetic moment (μB/atom): 0.000
Volume (A^3/atom): 23.3

```
TbDySc2S6
1.0
-3.564 -5.663 0.557
3.124 -5.836 1.125
-0.624 -2.955 6.438
S Dy Tb Sc
6 1 1 2
Direct
0.736 0.131 0.744
0.390 0.736 0.744
0.235 0.887 0.244
0.633 0.235 0.244
0.131 0.390 0.744
0.887 0.633 0.244
0.812 0.812 0.562
0.312 0.312 0.065
0.512 0.512 0.463
0.013 0.013 0.962
```